{
  "formula": "Cr8O21",
  "functional": "PBE with a Hubbard U",
  "state": "relaxed",
  "cell": [[-5.436, 0.041, -0.157], [0.795, 6.494, -0.038], [-0.452, -2.156, -12.604]],
  "species": ["Cr", "Cr", "Cr", "Cr", "Cr", "Cr", "Cr", "Cr", "O", "O", "O", "O", "O", "O", "O", "O", "O", "O", "O", "O", "O", "O", "O", "O", "O", "O", "O", "O", "O"],
  "frac_coords": [[0.272, 0.815, 0.543], [0.140, 0.202, 0.062], [0.391, 0.635, 0.764], [0.679, 0.257, 0.909], [0.321, 0.743, 0.091], [0.860, 0.798, 0.938], [0.609, 0.365, 0.236], [0.728, 0.185, 0.457], [0.079, 0.891, 0.066], [0.372, 0.730, 0.230], [0.602, 0.329, 0.372], [0.232, 0.494, 0.041], [0.949, 0.070, 0.394], [0.650, 0.774, 0.817], [0.146, 0.721, 0.836], [0.833, 0.344, 0.556], [0.854, 0.279, 0.164], [0.406, 0.365, 0.774], [0.398, 0.671, 0.628], [0.500, 0.000, 0.500], [0.587, 0.857, 0.045], [0.350, 0.226, 0.183], [0.167, 0.656, 0.444], [0.594, 0.635, 0.226], [0.768, 0.506, 0.959], [0.051, 0.930, 0.606], [0.628, 0.270, 0.770], [0.413, 0.143, 0.955], [0.921, 0.109, 0.934]],
  "polymorph_energy_mev_per_atom": 104.1,
  "total_magnetization_mub_per_fu": 10.000,
  "final_energy_ev_per_atom": -6.77
}